[1]
Here is Ac2PrMg16 after structural relaxation from Alexandria. Energies are from PBE-GGA.

Values from the calculation:
Electronic total energy ... -39.7 eV/f.u.
Energy of formation ... -1.2 eV/f.u.

abc: 10.6071 10.6071 15.5041
angles: 90.00 90.00 120.00
Last column: nearest neighbours and their distance in Å.
Space group R3m (No. 160, hexagonal axes)
Asymmetric unit:
Ac1 0.0000 0.0000 0.0000  10 Mg 3.54-3.73
Ac2 0.0000 0.0000 0.3216  18 Mg 3.73-4.11, 1 Pr 3.77
Pr1 0.0000 0.0000 0.5646  13 Mg 3.21-3.49
Mg1 0.0000 0.0000 0.7717  6 Mg 3.10-3.29, 1 Pr 3.21
Mg2 0.0011 0.3007 0.6573  8 Mg 3.04-3.27
Mg3 0.0048 0.5024 0.8083  8 Mg 3.04-3.27, 1 Pr 3.40
Mg4 0.1703 0.3406 0.8372  9 Mg 3.04-3.29
Mg5 0.1706 0.3412 0.4903  9 Mg 3.04-3.13, 1 Pr 3.34

***

[2]
Here is Ac4Pr15Mg after structural relaxation from Alexandria. Energies are from PBE-GGA.

Values from the calculation:
Electronic total energy ... -89.4 eV/f.u.
Energy of formation ... 0.3 eV/f.u.

abc: 5.3087 5.3087 26.3453
angles: 90.00 90.00 90.00
Last column: nearest neighbours and their distance in Å.
Space group P4/mmm (No. 123)
Asymmetric unit:
Ac1 0.0000 0.0000 0.1019  12 Pr 3.75-3.78
Ac2 0.0000 0.0000 0.3056  12 Pr 3.75-3.77
Pr1 0.0000 0.5000 0.0000  8 Pr 3.75-3.78, 4 Ac 3.78
Pr2 0.0000 0.5000 0.2037  8 Pr 3.75-3.81, 4 Ac 3.77
Pr3 0.0000 0.5000 0.4066  8 Pr 3.62-3.75, 2 Mg 3.62, 2 Ac 3.76
Pr4 0.5000 0.5000 0.1024  4 Ac 3.75, 8 Pr 3.77-3.78
Pr5 0.5000 0.5000 0.3076  8 Pr 3.72-3.81, 4 Ac 3.75
Pr6 0.5000 0.5000 0.5000  8 Pr 3.62, 4 Mg 3.75
Mg1 0.0000 0.0000 0.5000  12 Pr 3.62-3.75